An optimized crystal structure of Mn3InSn. Source: Alexandria, functional PBE-GGA.

Unit cell a=5.0602 b=5.0602 c=5.0602 alpha=90.00 beta=90.00 gamma=90.00
Space group Pm-3m (No. 221)
One atom of each set of equivalent atoms:
Mn 0.0000 0.0000 0.5000 (multiplicity 3)
In 0.5000 0.5000 0.5000 (multiplicity 1)
Sn 0.0000 0.0000 0.0000 (multiplicity 1)

Results
polymorph energy (0 for the lowest one): 0 meV/atom
formation enthalpy at 0 K: 0.91 eV per atom
total DFT energy (no corrections): -5.938 eV/atom

An optimized crystal structure of MgAlMo2. Source: Alexandria, functional PBE-GGA.

Unit cell a=5.4540 b=8.8871 c=2.7217 alpha=90.00 beta=102.67 gamma=90.00
Space group C2/m (No. 12)
One atom of each set of equivalent atoms:
Mg 0.0000 0.0000 0.0000 (multiplicity 2)
Al 0.0000 0.5000 0.0000 (multiplicity 2)
Mo 0.2500 0.2500 0.5000 (multiplicity 4)

Results
polymorph energy (0 for the lowest one): 97 meV/atom
formation enthalpy at 0 K: 0.10 eV per atom
total DFT energy (no corrections): -6.646 eV/atom

An optimized crystal structure of CuAg3Pb3O8. Source: Alexandria, functional PBE-GGA.

Unit cell a=12.2473 b=6.5374 c=6.5161 alpha=90.00 beta=114.55 gamma=90.00
Space group C2/m (No. 12)
One atom of each set of equivalent atoms:
Cu 0.0000 0.0000 0.0000 (multiplicity 2)
Ag 0.0000 0.0000 0.5000 (multiplicity 2)
Ag 0.2500 0.2500 0.5000 (multiplicity 4)
Pb 0.0000 0.5000 0.0000 (multiplicity 2)
Pb 0.2500 0.2500 0.0000 (multiplicity 4)
O 0.0458 0.2157 0.8351 (multiplicity 8)
O 0.2088 0.5000 0.2127 (multiplicity 4)
O 0.2469 0.5000 0.7668 (multiplicity 4)

Results
total DFT energy (no corrections): -4.740 eV/atom
raw formation energy: -510 meV/atom

An optimized crystal structure of Mg3TlCd. Source: Alexandria, functional PBE-GGA.

Unit cell a=4.7272 b=6.1828 c=8.4468 alpha=90.00 beta=90.00 gamma=90.00
Space group Pmmn (No. 59, origin choice 2)
One atom of each set of equivalent atoms:
Mg 0.2500 0.0055 0.2212 (multiplicity 4)
Mg 0.2500 0.7500 0.5805 (multiplicity 2)
Tl 0.2500 0.2500 0.6334 (multiplicity 2)
Cd 0.2500 0.7500 0.9279 (multiplicity 2)

Results
polymorph energy (0 for the lowest one): 52 meV/atom
formation enthalpy at 0 K: 0.01 eV per atom
total DFT energy (no corrections): -1.604 eV/atom

An optimized crystal structure of SiOsW2. Source: Alexandria, functional PBE-GGA.

Unit cell a=3.0914 b=3.0914 c=6.1446 alpha=90.00 beta=90.00 gamma=90.00
Space group P4mm (No. 99)
One atom of each set of equivalent atoms:
Si 0.0000 0.0000 0.0000 (multiplicity 1)
Os 0.5000 0.5000 0.7666 (multiplicity 1)
W 0.0000 0.0000 0.4928 (multiplicity 1)
W 0.5000 0.5000 0.2367 (multiplicity 1)

Results
total DFT energy (no corrections): -10.601 eV/atom
raw formation energy: 38 meV/atom

An optimized crystal structure of Rb2CdB. Source: Alexandria, functional PBE-GGA.

Unit cell a=8.4169 b=8.4169 c=8.4169 alpha=90.00 beta=90.00 gamma=90.00
Space group Fm-3m (No. 225)
One atom of each set of equivalent atoms:
Rb 0.2500 0.2500 0.2500 (multiplicity 8)
Cd 0.0000 0.0000 0.0000 (multiplicity 4)
B 0.0000 0.0000 0.5000 (multiplicity 4)

Results
polymorph energy (0 for the lowest one): 470 meV/atom
formation enthalpy at 0 K: 1.03 eV per atom
total DFT energy (no corrections): -1.355 eV/atom

An optimized crystal structure of Tb2Nd2SmEr. Source: Alexandria, functional PBE-GGA.

Unit cell a=7.0547 b=5.6846 c=9.8486 alpha=90.00 beta=90.00 gamma=90.00
Space group Pmma (No. 51)
One atom of each set of equivalent atoms:
Tb 0.2500 0.0000 0.1635 (multiplicity 2)
Tb 0.2500 0.5000 0.6693 (multiplicity 2)
Nd 0.0000 0.5000 0.0000 (multiplicity 2)
Nd 0.2500 0.0000 0.8228 (multiplicity 2)
Sm 0.2500 0.5000 0.3423 (multiplicity 2)
Er 0.0000 0.0000 0.5000 (multiplicity 2)

Results
formation enthalpy at 0 K: 0.06 eV per atom
total DFT energy (no corrections): -4.619 eV/atom

An optimized crystal structure of Rh2W. Source: Alexandria, functional PBE-GGA.

Unit cell a=4.3737 b=4.3737 c=2.7266 alpha=90.00 beta=90.00 gamma=120.00
Space group P-3m1 (No. 164)
One atom of each set of equivalent atoms:
Rh 0.3333 0.6667 0.2353 (multiplicity 2)
W 0.0000 0.0000 0.5000 (multiplicity 1)

Results
formation enthalpy at 0 K: -0.01 eV per atom
total DFT energy (no corrections): -9.227 eV/atom

The highest total DFT energy (no corrections) belongs to which entry? Rb2CdB

What is the formula in the seventh record? Tb2Nd2SmEr

The highest total DFT energy (no corrections) belongs to which entry? Rb2CdB